ZrCdAs2 (PBE, optimized geometry); theoretical density = 7.2 g/cm3; final energy = -4.585 eV per atom
1.0
0.000 3.445 3.445
3.445 0.000 3.445
3.445 3.445 0.000
Zr Cd As
1 1 2
Cartesian
0.000 0.000 0.000
1.723 1.723 1.723
3.445 3.445 3.445
5.168 5.168 5.168